# TaMo7 (GGA-PBEsol, optimized geometry)
# total DFT energy (no corrections)	-11.925	eV/atom
# E above lowest polymorph	2.5	kJ/mol of formula units
data_TaMo7
_chemical_formula_sum 'Ta2 Mo14'
_space_group_name_H-M_alt 'I 4/m m m'
_space_group_IT_number 139
_space_group_name_Hall '-I 4 2'
_cell_length_a 4.445
_cell_length_b 4.445
_cell_length_c 12.579
_cell_angle_alpha 90.00
_cell_angle_beta 90.00
_cell_angle_gamma 90.00
loop_
_atom_site_label
_atom_site_type_symbol
_atom_site_fract_x
_atom_site_fract_y
_atom_site_fract_z
Ta1 Ta 0.000 0.000 0.000
Mo1 Mo 0.000 0.000 0.249
Mo2 Mo 0.000 0.000 0.500
Mo3 Mo 0.000 0.500 0.126